[1]
The following is a DFT calculation (PBE-GGA) of RbLiNd2O4 after structural relaxation.

a = 3.6350 Å, b = 6.3738 Å, c = 12.0356 Å
α = 90.00°, β = 90.00°, γ = 106.57°
With the nearest neighbours (Å) after each atom.
Fractional positions:
O1 0.7503 0.5007 0.6017  1 Li 1.97
O2 0.0000 0.0000 0.0000  4 Nd 2.54
Rb1 0.9013 0.8026 0.2500  8 O 3.06-3.24, 3 Li 3.24-3.42
Rb2 0.0987 0.1974 0.7500  8 O 3.06-3.24, 3 Li 3.24-3.42
O3 0.0000 0.0000 0.5000  4 Nd 2.54
Nd1 0.3663 0.7327 0.9422  6 O 2.35-2.54
Nd2 0.3663 0.7327 0.5578  6 O 2.35-2.54
Li1 0.8187 0.6374 0.7500  4 O 1.97-2.06
O4 0.3977 0.7954 0.7500  2 Li 2.06
Nd3 0.6337 0.2673 0.0578  6 O 2.35-2.54
O5 0.6023 0.2046 0.2500  2 Li 2.06
O6 0.2497 0.4993 0.1017  1 Li 1.97
Nd4 0.6337 0.2673 0.4422  6 O 2.35-2.54
O7 0.2497 0.4993 0.3983  1 Li 1.97
Li2 0.1813 0.3626 0.2500  4 O 1.97-2.06
O8 0.7503 0.5007 0.8983  1 Li 1.97

The formation energy from raw total energies is -2679 meV per atom. Its density of states at the Fermi level is 0.0 states/eV/cell. The total magnetization comes out at 0.00 μB/f.u.

[2]
The following is a DFT calculation (PBE-GGA) of Na2CaPb after structural relaxation.

a = 5.5126 Å, b = 5.5126 Å, c = 5.5143 Å
α = 89.99°, β = 120.00°, γ = 120.00°
With the nearest neighbours (Å) after each atom.
Fractional positions:
Pb1 0.6250 0.5625 0.1875  4 Ca 3.38, 4 Na 3.38
Ca1 0.1250 0.3125 0.4375  4 Na 3.38, 4 Pb 3.38
Na1 0.6250 0.0625 0.6876  4 Na 3.38, 4 Ca 3.38
Na2 0.1250 0.8125 0.9375  4 Na 3.38, 4 Pb 3.38

Its density of states at the Fermi level is 1.9 states/eV/cell. The formation energy is -265.0 meV/atom. The total magnetization comes out at 0.00 μB/f.u.

Q: Look up the total magnetization of the first one.
A: 0.00 μB/f.u.

What did the first record say?
The following is a DFT calculation (PBE-GGA) of RbLiNd2O4 after structural relaxation.

a = 3.6350 Å, b = 6.3738 Å, c = 12.0356 Å
α = 90.00°, β = 90.00°, γ = 106.57°
With the nearest neighbours (Å) after each atom.
Fractional positions:
O1 0.7503 0.5007 0.6017  1 Li 1.97
O2 0.0000 0.0000 0.0000  4 Nd 2.54
Rb1 0.9013 0.8026 0.2500  8 O 3.06-3.24, 3 Li 3.24-3.42
Rb2 0.0987 0.1974 0.7500  8 O 3.06-3.24, 3 Li 3.24-3.42
O3 0.0000 0.0000 0.5000  4 Nd 2.54
Nd1 0.3663 0.7327 0.9422  6 O 2.35-2.54
Nd2 0.3663 0.7327 0.5578  6 O 2.35-2.54
Li1 0.8187 0.6374 0.7500  4 O 1.97-2.06
O4 0.3977 0.7954 0.7500  2 Li 2.06
Nd3 0.6337 0.2673 0.0578  6 O 2.35-2.54
O5 0.6023 0.2046 0.2500  2 Li 2.06
O6 0.2497 0.4993 0.1017  1 Li 1.97
Nd4 0.6337 0.2673 0.4422  6 O 2.35-2.54
O7 0.2497 0.4993 0.3983  1 Li 1.97
Li2 0.1813 0.3626 0.2500  4 O 1.97-2.06
O8 0.7503 0.5007 0.8983  1 Li 1.97

The formation energy from raw total energies is -2679 meV per atom. Its density of states at the Fermi level is 0.0 states/eV/cell. The total magnetization comes out at 0.00 μB/f.u.

What did the first record say?
The following is a DFT calculation (PBE-GGA) of RbLiNd2O4 after structural relaxation.

a = 3.6350 Å, b = 6.3738 Å, c = 12.0356 Å
α = 90.00°, β = 90.00°, γ = 106.57°
With the nearest neighbours (Å) after each atom.
Fractional positions:
O1 0.7503 0.5007 0.6017  1 Li 1.97
O2 0.0000 0.0000 0.0000  4 Nd 2.54
Rb1 0.9013 0.8026 0.2500  8 O 3.06-3.24, 3 Li 3.24-3.42
Rb2 0.0987 0.1974 0.7500  8 O 3.06-3.24, 3 Li 3.24-3.42
O3 0.0000 0.0000 0.5000  4 Nd 2.54
Nd1 0.3663 0.7327 0.9422  6 O 2.35-2.54
Nd2 0.3663 0.7327 0.5578  6 O 2.35-2.54
Li1 0.8187 0.6374 0.7500  4 O 1.97-2.06
O4 0.3977 0.7954 0.7500  2 Li 2.06
Nd3 0.6337 0.2673 0.0578  6 O 2.35-2.54
O5 0.6023 0.2046 0.2500  2 Li 2.06
O6 0.2497 0.4993 0.1017  1 Li 1.97
Nd4 0.6337 0.2673 0.4422  6 O 2.35-2.54
O7 0.2497 0.4993 0.3983  1 Li 1.97
Li2 0.1813 0.3626 0.2500  4 O 1.97-2.06
O8 0.7503 0.5007 0.8983  1 Li 1.97

The formation energy from raw total energies is -2679 meV per atom. Its density of states at the Fermi level is 0.0 states/eV/cell. The total magnetization comes out at 0.00 μB/f.u.

Q: Look up the total magnetization of the second one.
A: 0.00 μB/f.u.